# LaFe5H7, relaxed, DFT PBE-GGA
# E, eV per cell: -288.7
# Magnetization, Bohr magnetons per cell: 44.02
data_LaFe5H7
_chemical_formula_sum 'La4 Fe20 H28'
_cell_length_a 5.793
_cell_length_b 9.362
_cell_length_c 8.220
_cell_angle_alpha 90.00
_cell_angle_beta 90.00
_cell_angle_gamma 90.00
_space_group_name_H-M_alt 'C c c m'
_space_group_IT_number 66
_space_group_name_Hall '-C 2 2c'
loop_
_atom_site_label
_atom_site_type_symbol
_atom_site_fract_x
_atom_site_fract_y
_atom_site_fract_z
_atom_site_occupancy
La1 La 0.000 0.000 0.000 1
Fe1 Fe 0.000 0.500 0.250 1
Fe2 Fe 0.008 0.346 0.000 1
Fe3 Fe 0.250 0.250 0.267 1
H1 H 0.000 0.156 0.250 1
H2 H 0.195 0.396 0.152 1
H3 H 0.250 0.250 0.500 1

# LaFe3H, relaxed, DFT PBE-GGA
# E, eV per cell: -30.7
# Magnetization, Bohr magnetons per cell: 0.00
data_LaFe3H
_chemical_formula_sum 'La1 Fe3 H1'
_cell_length_a 3.919
_cell_length_b 3.919
_cell_length_c 3.919
_cell_angle_alpha 90.00
_cell_angle_beta 90.00
_cell_angle_gamma 90.00
_space_group_name_H-M_alt 'P m -3 m'
_space_group_IT_number 221
_space_group_name_Hall '-P 4 2 3'
loop_
_atom_site_label
_atom_site_type_symbol
_atom_site_fract_x
_atom_site_fract_y
_atom_site_fract_z
_atom_site_occupancy
La1 La 0.000 0.000 0.000 1
Fe1 Fe 0.000 0.500 0.500 1
H1 H 0.500 0.500 0.500 1

# La2Fe2H, relaxed, DFT PBE-GGA
# E, eV per cell: -55.8
# Magnetization, Bohr magnetons per cell: 2.68
data_La2Fe2H
_chemical_formula_sum 'La4 Fe4 H2'
_cell_length_a 5.329
_cell_length_b 5.329
_cell_length_c 6.211
_cell_angle_alpha 90.00
_cell_angle_beta 90.00
_cell_angle_gamma 90.00
_space_group_name_H-M_alt 'I 4/m m m'
_space_group_IT_number 139
_space_group_name_Hall '-I 4 2'
loop_
_atom_site_label
_atom_site_type_symbol
_atom_site_fract_x
_atom_site_fract_y
_atom_site_fract_z
_atom_site_occupancy
La1 La 0.000 0.500 0.250 1
Fe1 Fe 0.000 0.000 0.213 1
H1 H 0.000 0.000 0.500 1

# LaMg2FeH8, relaxed, DFT PBE-GGA
# E, eV per cell: -47.4
# Magnetization, Bohr magnetons per cell: 0.00
data_LaMg2FeH8
_chemical_formula_sum 'La1 Mg2 Fe1 H8'
_cell_length_a 4.712
_cell_length_b 4.425
_cell_length_c 5.626
_cell_angle_alpha 90.00
_cell_angle_beta 105.53
_cell_angle_gamma 90.00
_space_group_name_H-M_alt 'P 1 2/m 1'
_space_group_IT_number 10
loop_
_space_group_symop_operation_xyz
'x,y,z'
'-x,-y,-z'
'-x,y,-z'
'x,-y,z'
loop_
_atom_site_label
_atom_site_type_symbol
_atom_site_fract_x
_atom_site_fract_y
_atom_site_fract_z
_atom_site_occupancy
La1 La 0.000 0.000 0.000 1
Mg1 Mg 0.424 0.500 0.719 1
Fe1 Fe 0.500 0.000 0.500 1
H1 H 0.222 0.500 0.970 1
H2 H 0.242 0.240 0.401 1
H3 H 0.437 0.000 0.774 1

# LaMnFe2H, relaxed, DFT PBE-GGA
# E, eV per cell: -32.0
# Magnetization, Bohr magnetons per cell: 1.87
data_LaMnFe2H
_chemical_formula_sum 'La1 Mn1 Fe2 H1'
_cell_length_a 3.853
_cell_length_b 3.853
_cell_length_c 4.739
_cell_angle_alpha 90.00
_cell_angle_beta 90.00
_cell_angle_gamma 90.00
_space_group_name_H-M_alt 'P 4/m m m'
_space_group_IT_number 123
_space_group_name_Hall '-P 4 2'
loop_
_atom_site_label
_atom_site_type_symbol
_atom_site_fract_x
_atom_site_fract_y
_atom_site_fract_z
_atom_site_occupancy
La1 La 0.000 0.000 0.000 1
Mn1 Mn 0.500 0.500 0.000 1
Fe1 Fe 0.000 0.500 0.500 1
H1 H 0.000 0.000 0.500 1

# La2NbFeH, relaxed, DFT PBE-GGA
# E, eV per cell: -27.9
# Magnetization, Bohr magnetons per cell: 3.07
data_La2NbFeH
_chemical_formula_sum 'La2 Nb1 Fe1 H1'
_cell_length_a 6.032
_cell_length_b 6.032
_cell_length_c 3.755
_cell_angle_alpha 90.00
_cell_angle_beta 90.00
_cell_angle_gamma 90.00
_space_group_name_H-M_alt 'P 4/m m m'
_space_group_IT_number 123
_space_group_name_Hall '-P 4 2'
loop_
_atom_site_label
_atom_site_type_symbol
_atom_site_fract_x
_atom_site_fract_y
_atom_site_fract_z
_atom_site_occupancy
La1 La 0.000 0.500 0.000 1
Nb1 Nb 0.000 0.000 0.000 1
Fe1 Fe 0.500 0.500 0.500 1
H1 H 0.000 0.000 0.500 1